[1]
A plane-wave DFT calculation with PBE was carried out for a geometry-optimized In2FeTe structure.

The structure in CIF format:
```
data_In2FeTe
_cell_length_a 6.5430
_cell_length_b 9.4973
_cell_length_c 3.0803
_cell_angle_alpha 90.00
_cell_angle_beta 90.00
_cell_angle_gamma 90.00
_space_group_name_H-M_alt 'C m m m'
_space_group_IT_number 65
_space_group_name_Hall '-C 2 2'
loop_
_atom_site_label
_atom_site_type_symbol
_atom_site_fract_x
_atom_site_fract_y
_atom_site_fract_z
_atom_site_occupancy
In1 In 0.2500 0.2500 0.0000 1
Fe1 Fe 0.0000 0.0000 0.5000 1
Te1 Te 0.0000 0.5000 0.5000 1
```

DFT total energy in eV per atom: -3.8274
Volume in Å³ per cell: 191.41
Formation energy without anion corrections in eV/atom: 0.443

***

[2]
A plane-wave DFT calculation with PBE was carried out for a geometry-optimized Hg6Pb5 structure.

The structure in CIF format:
```
data_Hg6Pb5
_cell_length_a 6.3453
_cell_length_b 6.5237
_cell_length_c 8.3475
_cell_angle_alpha 67.27
_cell_angle_beta 77.33
_cell_angle_gamma 83.13
_space_group_name_H-M_alt 'P -1'
_space_group_IT_number 2
loop_
_space_group_symop_operation_xyz
'x,y,z'
'-x,-y,-z'
loop_
_atom_site_label
_atom_site_type_symbol
_atom_site_fract_x
_atom_site_fract_y
_atom_site_fract_z
_atom_site_occupancy
Hg1 Hg 0.0152 0.2463 0.1033 1
Hg2 Hg 0.3253 0.5588 0.6431 1
Hg3 Hg 0.3678 0.0504 0.8503 1
Pb1 Pb 0.1318 0.6936 0.2901 1
Pb2 Pb 0.2602 0.1176 0.4304 1
Pb3 Pb 0.5000 0.5000 0.0000 1
```

DFT total energy in eV per atom: -1.8268
ΔE_f in eV/atom: 0.023
Volume in Å³ per cell: 310.70

***

[3]
A plane-wave DFT calculation with PBE was carried out for a geometry-optimized CsLi2TeI structure.

The structure in CIF format:
```
data_CsLi2TeI
_cell_length_a 5.4302
_cell_length_b 5.4302
_cell_length_c 7.4538
_cell_angle_alpha 90.00
_cell_angle_beta 90.00
_cell_angle_gamma 90.00
_space_group_name_H-M_alt 'P 4/m m m'
_space_group_IT_number 123
_space_group_name_Hall '-P 4 2'
loop_
_atom_site_label
_atom_site_type_symbol
_atom_site_fract_x
_atom_site_fract_y
_atom_site_fract_z
_atom_site_occupancy
Cs1 Cs 0.0000 0.0000 0.0000 1
Li1 Li 0.0000 0.5000 0.5000 1
Te1 Te 0.5000 0.5000 0.0000 1
I1 I 0.5000 0.5000 0.5000 1
```

DFT total energy in eV per atom: -2.3062
Volume in Å³ per cell: 219.79
ΔE to the lowest computed polymorph in eV per atom: 0.750
Formation energy without anion corrections in eV/atom: -0.432